Material: Ca2Zn2Bi
Method: DFT, PBE
State: optimized geometry

Output
Total magnetization, Bohr magnetons per cell: 0.0
Energy relative to the elements, eV/atom: -0.322
Volume, Å³ per cell: 135.2
N(E_F), states/eV/f.u.: 2.66
Total energy, eV per atom: -2.408
Energy relative to the lowest polymorph listed for this composition, meV per atom: 75

Cell lengths 3.7842, 3.7842, 9.8142 Å; angles 78.88, 78.88, 90.00 degrees
Positions (direct):
Ca  0.6092  0.6092  0.7817
Ca  0.3908  0.3908  0.2183
Zn  0.2500  0.7500  0.5000
Zn  0.7500  0.2500  0.5000
Bi  0.0000  0.0000  0.0000